(1)
Below is BaTi2Hg after structural relaxation, with properties calculated at the PBE level.

abc: 11.163 11.163 11.163
angles: 155.30 155.30 35.21
Atoms (fractional coordinates):
Ba (0.000, 0.000, 0.000)
Ba (0.750, 0.250, 0.500)
Ti (0.345, 0.625, 0.220)
Ti (0.375, 0.595, 0.720)
Ti (0.405, 0.125, 0.780)
Ti (0.875, 0.655, 0.280)
Hg (0.250, 0.750, 0.500)
Hg (0.500, 0.500, 0.000)

Values from the calculation:
- symmetry = I-42d (122)


(2)
Below is CaScPt after structural relaxation, with properties calculated at the PBE level.

abc: 4.736 4.736 4.736
angles: 60.00 60.00 60.00
Atoms (fractional coordinates):
Ca (0.000, 0.000, 0.000)
Sc (0.500, 0.500, 0.500)
Pt (0.250, 0.250, 0.250)

Values from the calculation:
- symmetry = F-43m (216)


(3)
Below is Ce3PuRu2 after structural relaxation, with properties calculated at the PBE level.

abc: 4.223 9.196 7.064
angles: 90.00 90.00 90.00
Atoms (fractional coordinates):
Ce (0.000, 0.053, 0.000)
Ce (0.000, 0.335, 0.308)
Ce (0.000, 0.665, 0.808)
Ce (0.000, 0.947, 0.500)
Ce (0.500, 0.225, 0.657)
Ce (0.500, 0.775, 0.157)
Pu (0.500, 0.418, 0.078)
Pu (0.500, 0.582, 0.578)
Ru (0.000, 0.350, 0.823)
Ru (0.000, 0.650, 0.323)
Ru (0.500, 0.084, 0.277)
Ru (0.500, 0.916, 0.777)

Values from the calculation:
- symmetry = Pmc2_1 (26)


| no. | ΔE_f (eV per atom) | V (A^3/atom) |
| --- | --- | --- |
| 1 | 0.58 | 30.33 |
| 2 | -0.68 | 25.03 |
| 3 | -0.22 | 22.86 |